[1]
The following is a GGA-PBE calculation of an optimized crystal structure of TmUSi, from Alexandria via LeMat-Bulk.

DOS at the Fermi energy: 21.2 states/eV/cell
Formation energy from raw total energies: -0.396 eV/atom
Symmetry: No. 62
Calculated total energy: -7.4572 eV/atom
Magnetic moment: 0.29 μB per formula unit

Cell: 7.6910 3.9055 8.9029 Å, 90.00 90.00 90.00°
With the nearest neighbours (Å) after each atom.
Element x y z (fractional)
Tm 0.0525 0.2500 0.1630  5 Si 2.94-3.08
Tm 0.4475 0.7500 0.6630  5 Si 2.94-3.08
Tm 0.5525 0.2500 0.3370  5 Si 2.94-3.08
Tm 0.9475 0.7500 0.8370  5 Si 2.94-3.08
U 0.0883 0.2500 0.5482  2 U 2.53
U 0.4117 0.7500 0.0482  2 U 2.53
U 0.5883 0.2500 0.9518  2 U 2.53
U 0.9117 0.7500 0.4518  2 U 2.53
Si 0.2324 0.2500 0.8540  4 U 2.87-2.95, 5 Tm 2.94-3.08
Si 0.2676 0.7500 0.3540  4 U 2.87-2.95, 5 Tm 2.94-3.08
Si 0.7324 0.2500 0.6460  4 U 2.87-2.95, 5 Tm 2.94-3.08
Si 0.7676 0.7500 0.1460  4 U 2.87-2.95, 5 Tm 2.94-3.08

---

[2]
The following is a GGA-PBE calculation of an optimized crystal structure of Tm2V3Si4, from Alexandria via LeMat-Bulk.

DOS at the Fermi energy: 11.4 states/eV/cell
Formation energy from raw total energies: -0.687 eV/atom
Symmetry: No. 14
Calculated total energy: -7.1305 eV/atom
Magnetic moment: 0.00 μB per formula unit

Cell: 6.7773 6.7722 6.6520 Å, 90.00 109.27 90.00°
With the nearest neighbours (Å) after each atom.
Element x y z (fractional)
Tm 0.1871 0.1683 0.0606  7 Si 2.76-2.98
Tm 0.1871 0.3317 0.5606  7 Si 2.76-2.98
Tm 0.8129 0.6683 0.4394  7 Si 2.76-2.98
Tm 0.8129 0.8317 0.9394  7 Si 2.76-2.98
V 0.2579 0.6724 0.2482  6 Si 2.45-2.66
V 0.2579 0.8276 0.7482  6 Si 2.45-2.66
V 0.5000 0.0000 0.5000  6 Si 2.61-2.66
V 0.5000 0.5000 0.0000  6 Si 2.61-2.66
V 0.7421 0.1724 0.2518  6 Si 2.45-2.66
V 0.7421 0.3276 0.7518  6 Si 2.45-2.66
Si 0.0891 0.5434 0.8701  1 Si 2.48, 4 V 2.51-2.66, 1 Tm 2.76
Si 0.0891 0.9566 0.3701  1 Si 2.48, 4 V 2.51-2.66, 1 Tm 2.76
Si 0.4990 0.1289 0.8697  5 V 2.45-2.66, 1 Si 2.46
Si 0.4990 0.3711 0.3697  5 V 2.45-2.66, 1 Si 2.46
Si 0.5010 0.6289 0.6303  5 V 2.45-2.66, 1 Si 2.46
Si 0.5010 0.8711 0.1303  5 V 2.45-2.66, 1 Si 2.46
Si 0.9109 0.0434 0.6299  1 Si 2.48, 4 V 2.51-2.66, 1 Tm 2.76
Si 0.9109 0.4566 0.1299  1 Si 2.48, 4 V 2.51-2.66, 1 Tm 2.76